Below is an optimized crystal structure of Pr4DyY3, with properties calculated at the PBE level.

Unit cell a=6.3696 b=7.3846 c=11.7155 alpha=90.00 beta=90.00 gamma=90.00
Closest atoms and distances in Å follow each position.
Positions (direct):
Pr 0.1485 0.8723 0.0000  6 Pr 3.62-3.70, 4 Y 3.63-3.69, 2 Dy 3.65-3.73
Pr 0.6480 0.1275 0.0000  6 Pr 3.61-3.70, 4 Y 3.63-3.74, 2 Dy 3.68-3.69
Pr 0.9814 0.1271 0.2494  6 Pr 3.61-3.70, 1 Dy 3.62, 5 Y 3.63-3.74
Pr 0.4814 0.8729 0.2506  6 Pr 3.61-3.70, 1 Dy 3.62, 5 Y 3.63-3.74
Pr 0.1480 0.8725 0.5000  6 Pr 3.61-3.70, 4 Y 3.63-3.74, 2 Dy 3.68-3.69
Pr 0.6485 0.1277 0.5000  6 Pr 3.62-3.70, 4 Y 3.63-3.69, 2 Dy 3.65-3.73
Pr 0.4814 0.8729 0.7494  6 Pr 3.61-3.70, 1 Dy 3.62, 5 Y 3.63-3.74
Pr 0.9814 0.1271 0.7506  6 Pr 3.61-3.70, 1 Dy 3.62, 5 Y 3.63-3.74
Dy 0.1471 0.3780 0.0000  6 Y 3.59-3.66, 6 Pr 3.62-3.73
Dy 0.6471 0.6220 0.5000  6 Y 3.59-3.66, 6 Pr 3.62-3.73
Y 0.6472 0.6212 0.0000  4 Y 3.59-3.62, 6 Pr 3.63-3.74, 2 Dy 3.66
Y 0.9809 0.6212 0.2499  4 Y 3.59-3.65, 2 Dy 3.59-3.62, 6 Pr 3.63-3.74
Y 0.4809 0.3788 0.2501  4 Y 3.59-3.65, 2 Dy 3.59-3.62, 6 Pr 3.63-3.74
Y 0.1472 0.3788 0.5000  4 Y 3.59-3.62, 6 Pr 3.63-3.74, 2 Dy 3.66
Y 0.4809 0.3788 0.7499  4 Y 3.59-3.65, 2 Dy 3.59-3.62, 6 Pr 3.63-3.74
Y 0.9809 0.6212 0.7501  4 Y 3.59-3.65, 2 Dy 3.59-3.62, 6 Pr 3.63-3.74

Properties
crystal system = orthorhombic
formation enthalpy at 0 K = 26.1 meV/atom
raw total energy = -5.36 eV/atom